A geometry-optimized Tm5Zr3N8 structure, computed with GGA-PBE.

Properties
ΔE_f (raw) ... -1812 meV per atom
Symmetry ... No. 166
Crystal system ... trigonal
Volume ... 210.41 Å³/cell

abc: 6.6681 6.6681 6.6843
angles: 60.08 60.08 60.00
With the nearest neighbours (Å) after each atom.
Atoms (fractional coordinates):
Zr 0.5000 0.0000 0.5000  6 N 2.32-2.33
N 0.7500 0.2414 0.2586  2 Zr 2.32, 4 Tm 2.36-2.40
N 0.7500 0.7500 0.2586  2 Zr 2.32, 4 Tm 2.36-2.40
N 0.2500 0.2500 0.7414  2 Zr 2.32, 4 Tm 2.36-2.40
Tm 0.0000 0.0000 0.0000  6 N 2.36
N 0.2500 0.7586 0.7414  2 Zr 2.32, 4 Tm 2.36-2.40
N 0.2414 0.7500 0.2586  2 Zr 2.32, 4 Tm 2.36-2.40
Zr 0.0000 0.5000 0.5000  6 N 2.32-2.33
Tm 0.5000 0.0000 0.0000  6 N 2.39-2.40
Tm 0.5000 0.5000 0.5000  6 N 2.36
Tm 0.0000 0.5000 0.0000  6 N 2.39-2.40
N 0.7586 0.2500 0.7414  2 Zr 2.32, 4 Tm 2.36-2.40
Tm 0.5000 0.5000 0.0000  6 N 2.39-2.40
Zr 0.0000 0.0000 0.5000  6 N 2.32-2.33
N 0.7535 0.7535 0.7396  3 Zr 2.33, 3 Tm 2.39
N 0.2465 0.2465 0.2604  3 Zr 2.33, 3 Tm 2.39